(one)
# NaInHg | OQMD | PBE | optimized geometry
# Crystal system = cubic
data_NaInHg
_chemical_formula_sum 'Na1 In1 Hg1'
_cell_length_a 4.961
_cell_length_b 4.961
_cell_length_c 4.961
_cell_angle_alpha 60.00
_cell_angle_beta 60.00
_cell_angle_gamma 60.00
_space_group_name_H-M_alt 'P 1'
_space_group_IT_number 1
_space_group_name_Hall 'P 1'
loop_
_atom_site_label
_atom_site_type_symbol
_atom_site_fract_x
_atom_site_fract_y
_atom_site_fract_z
_atom_site_occupancy
Na1 Na 0.000 0.000 0.000 1
In1 In 0.500 0.500 0.500 1
Hg1 Hg 0.750 0.750 0.750 1


(two)
# NaInHg | OQMD | PBE | optimized geometry
# Crystal system = hexagonal
data_NaInHg
_chemical_formula_sum 'Na1 In1 Hg1'
_cell_length_a 5.100
_cell_length_b 5.100
_cell_length_c 3.391
_cell_angle_alpha 90.00
_cell_angle_beta 90.00
_cell_angle_gamma 120.00
_space_group_name_H-M_alt 'P 1'
_space_group_IT_number 1
_space_group_name_Hall 'P 1'
loop_
_atom_site_label
_atom_site_type_symbol
_atom_site_fract_x
_atom_site_fract_y
_atom_site_fract_z
_atom_site_occupancy
Na1 Na 0.000 0.000 0.000 1
In1 In 0.667 0.333 0.500 1
Hg1 Hg 0.333 0.667 0.500 1


Which of them is least stable? Easy: (one).


(one)
# NbInNiHg | OQMD | PBE | optimized geometry
# Crystal system = cubic
# Size of the total moment = 0.07 Bohr magnetons per cell
data_NbInNiHg
_chemical_formula_sum 'Nb1 In1 Ni1 Hg1'
_cell_length_a 4.665
_cell_length_b 4.665
_cell_length_c 4.665
_cell_angle_alpha 60.00
_cell_angle_beta 60.00
_cell_angle_gamma 60.00
_space_group_name_H-M_alt 'P 1'
_space_group_IT_number 1
_space_group_name_Hall 'P 1'
loop_
_atom_site_label
_atom_site_type_symbol
_atom_site_fract_x
_atom_site_fract_y
_atom_site_fract_z
_atom_site_occupancy
Nb1 Nb 0.000 0.000 0.000 1
In1 In 0.500 0.500 0.500 1
Ni1 Ni 0.750 0.750 0.750 1
Hg1 Hg 0.250 0.250 0.250 1


(two)
# NbInNiHg | OQMD | PBE | optimized geometry
# Crystal system = cubic
# Size of the total moment = 0.34 Bohr magnetons per cell
data_NbInNiHg
_chemical_formula_sum 'Nb1 In1 Ni1 Hg1'
_cell_length_a 4.659
_cell_length_b 4.659
_cell_length_c 4.659
_cell_angle_alpha 60.00
_cell_angle_beta 60.00
_cell_angle_gamma 60.00
_space_group_name_H-M_alt 'P 1'
_space_group_IT_number 1
_space_group_name_Hall 'P 1'
loop_
_atom_site_label
_atom_site_type_symbol
_atom_site_fract_x
_atom_site_fract_y
_atom_site_fract_z
_atom_site_occupancy
Nb1 Nb 0.000 0.000 0.000 1
In1 In 0.250 0.250 0.250 1
Ni1 Ni 0.500 0.500 0.500 1
Hg1 Hg 0.750 0.750 0.750 1


Which of them is least stable? Easy: (two).


(one)
# InTcNiHg | OQMD | PBE | optimized geometry
# Crystal system = cubic
# Size of the total moment = 1.09 Bohr magnetons per cell
data_InTcNiHg
_chemical_formula_sum 'In1 Tc1 Ni1 Hg1'
_cell_length_a 4.569
_cell_length_b 4.569
_cell_length_c 4.569
_cell_angle_alpha 60.00
_cell_angle_beta 60.00
_cell_angle_gamma 60.00
_space_group_name_H-M_alt 'P 1'
_space_group_IT_number 1
_space_group_name_Hall 'P 1'
loop_
_atom_site_label
_atom_site_type_symbol
_atom_site_fract_x
_atom_site_fract_y
_atom_site_fract_z
_atom_site_occupancy
In1 In 0.000 0.000 0.000 1
Tc1 Tc 0.750 0.750 0.750 1
Ni1 Ni 0.250 0.250 0.250 1
Hg1 Hg 0.500 0.500 0.500 1


(two)
# InTcNiHg | OQMD | PBE | optimized geometry
# Crystal system = cubic
# Size of the total moment = 2.55 Bohr magnetons per cell
data_InTcNiHg
_chemical_formula_sum 'In1 Tc1 Ni1 Hg1'
_cell_length_a 4.610
_cell_length_b 4.610
_cell_length_c 4.610
_cell_angle_alpha 60.00
_cell_angle_beta 60.00
_cell_angle_gamma 60.00
_space_group_name_H-M_alt 'P 1'
_space_group_IT_number 1
_space_group_name_Hall 'P 1'
loop_
_atom_site_label
_atom_site_type_symbol
_atom_site_fract_x
_atom_site_fract_y
_atom_site_fract_z
_atom_site_occupancy
In1 In 0.000 0.000 0.000 1
Tc1 Tc 0.500 0.500 0.500 1
Ni1 Ni 0.250 0.250 0.250 1
Hg1 Hg 0.750 0.750 0.750 1


Which of them is least stable? Easy: (two).


(one)
# InHgSO | OQMD | PBE | optimized geometry
# Crystal system = orthorhombic
data_InHgSO
_chemical_formula_sum 'In2 Hg2 S2 O2'
_cell_length_a 3.949
_cell_length_b 8.342
_cell_length_c 5.618
_cell_angle_alpha 90.00
_cell_angle_beta 90.00
_cell_angle_gamma 90.00
_space_group_name_H-M_alt 'P 1'
_space_group_IT_number 1
_space_group_name_Hall 'P 1'
loop_
_atom_site_label
_atom_site_type_symbol
_atom_site_fract_x
_atom_site_fract_y
_atom_site_fract_z
_atom_site_occupancy
In1 In 0.000 0.131 0.000 1
In2 In 0.000 0.869 0.500 1
Hg1 Hg 0.500 0.304 0.551 1
Hg2 Hg 0.500 0.696 0.051 1
S1 S 0.500 0.312 0.068 1
S2 S 0.500 0.688 0.568 1
O1 O 0.000 0.096 0.634 1
O2 O 0.000 0.904 0.134 1


(two)
# InHgSO | OQMD | PBE | optimized geometry
# Crystal system = orthorhombic
data_InHgSO
_chemical_formula_sum 'In4 Hg4 S4 O4'
_cell_length_a 6.571
_cell_length_b 8.766
_cell_length_c 6.269
_cell_angle_alpha 90.00
_cell_angle_beta 90.00
_cell_angle_gamma 90.00
_space_group_name_H-M_alt 'P 1'
_space_group_IT_number 1
_space_group_name_Hall 'P 1'
loop_
_atom_site_label
_atom_site_type_symbol
_atom_site_fract_x
_atom_site_fract_y
_atom_site_fract_z
_atom_site_occupancy
In1 In 0.059 0.141 0.000 1
In2 In 0.441 0.141 0.500 1
In3 In 0.559 0.859 0.000 1
In4 In 0.941 0.859 0.500 1
Hg1 Hg 0.132 0.556 0.933 1
Hg2 Hg 0.368 0.556 0.433 1
Hg3 Hg 0.632 0.444 0.933 1
Hg4 Hg 0.868 0.444 0.433 1
S1 S 0.063 0.124 0.591 1
S2 S 0.437 0.124 0.091 1
S3 S 0.563 0.876 0.591 1
S4 S 0.937 0.876 0.091 1
O1 O 0.058 0.652 0.586 1
O2 O 0.442 0.652 0.086 1
O3 O 0.558 0.348 0.586 1
O4 O 0.942 0.348 0.086 1


(three)
# InHgSO | OQMD | PBE | optimized geometry
# Crystal system = tetragonal
data_InHgSO
_chemical_formula_sum 'In2 Hg2 S2 O2'
_cell_length_a 4.146
_cell_length_b 4.146
_cell_length_c 9.181
_cell_angle_alpha 90.00
_cell_angle_beta 90.00
_cell_angle_gamma 90.00
_space_group_name_H-M_alt 'P 1'
_space_group_IT_number 1
_space_group_name_Hall 'P 1'
loop_
_atom_site_label
_atom_site_type_symbol
_atom_site_fract_x
_atom_site_fract_y
_atom_site_fract_z
_atom_site_occupancy
In1 In 0.250 0.250 0.098 1
In2 In 0.750 0.750 0.902 1
Hg1 Hg 0.250 0.750 0.500 1
Hg2 Hg 0.750 0.250 0.500 1
S1 S 0.250 0.250 0.693 1
S2 S 0.750 0.750 0.307 1
O1 O 0.250 0.750 0.000 1
O2 O 0.750 0.250 0.000 1


Which of them is least stable? Easy: (three).


(one)
# InHgSO | OQMD | PBE | optimized geometry
# Crystal system = monoclinic
data_InHgSO
_chemical_formula_sum 'In4 Hg4 S4 O4'
_cell_length_a 5.631
_cell_length_b 5.636
_cell_length_c 11.875
_cell_angle_alpha 90.00
_cell_angle_beta 100.97
_cell_angle_gamma 90.00
_space_group_name_H-M_alt 'P 1'
_space_group_IT_number 1
_space_group_name_Hall 'P 1'
loop_
_atom_site_label
_atom_site_type_symbol
_atom_site_fract_x
_atom_site_fract_y
_atom_site_fract_z
_atom_site_occupancy
In1 In 0.027 0.000 0.082 1
In2 In 0.461 0.987 0.917 1
In3 In 0.539 0.487 0.083 1
In4 In 0.973 0.500 0.918 1
Hg1 Hg 0.185 0.525 0.502 1
Hg2 Hg 0.423 0.782 0.317 1
Hg3 Hg 0.577 0.282 0.683 1
Hg4 Hg 0.815 0.025 0.498 1
S1 S 0.116 0.080 0.285 1
S2 S 0.300 0.980 0.714 1
S3 S 0.700 0.480 0.286 1
S4 S 0.884 0.580 0.715 1
O1 O 0.251 0.246 0.999 1
O2 O 0.253 0.744 0.008 1
O3 O 0.747 0.244 0.992 1
O4 O 0.749 0.746 0.001 1


(two)
# InHgSO | OQMD | PBE | optimized geometry
# Crystal system = triclinic
data_InHgSO
_chemical_formula_sum 'In4 Hg4 S4 O4'
_cell_length_a 5.635
_cell_length_b 8.340
_cell_length_c 9.013
_cell_angle_alpha 86.33
_cell_angle_beta 89.07
_cell_angle_gamma 84.54
_space_group_name_H-M_alt 'P 1'
_space_group_IT_number 1
_space_group_name_Hall 'P 1'
loop_
_atom_site_label
_atom_site_type_symbol
_atom_site_fract_x
_atom_site_fract_y
_atom_site_fract_z
_atom_site_occupancy
In1 In 0.000 0.000 0.000 1
In2 In 0.056 0.755 0.689 1
In3 In 0.200 0.140 0.346 1
In4 In 0.641 0.237 0.278 1
Hg1 Hg 0.196 0.210 0.740 1
Hg2 Hg 0.544 0.706 0.013 1
Hg3 Hg 0.750 0.288 0.863 1
Hg4 Hg 0.923 0.535 0.514 1
S1 S 0.304 0.966 0.582 1
S2 S 0.449 0.993 0.027 1
S3 S 0.458 0.439 0.657 1
S4 S 0.484 0.427 0.060 1
O1 O 0.385 0.599 0.742 1
O2 O 0.919 0.322 0.390 1
O3 O 0.926 0.058 0.219 1
O4 O 0.934 0.793 0.902 1


Which of them is least stable? Easy: (two).


(one)
# InHgSeO | OQMD | PBE | optimized geometry
# Crystal system = orthorhombic
data_InHgSeO
_chemical_formula_sum 'In2 Hg2 Se2 O2'
_cell_length_a 4.098
_cell_length_b 8.656
_cell_length_c 5.683
_cell_angle_alpha 90.00
_cell_angle_beta 90.00
_cell_angle_gamma 90.00
_space_group_name_H-M_alt 'P 1'
_space_group_IT_number 1
_space_group_name_Hall 'P 1'
loop_
_atom_site_label
_atom_site_type_symbol
_atom_site_fract_x
_atom_site_fract_y
_atom_site_fract_z
_atom_site_occupancy
In1 In 0.000 0.123 0.000 1
In2 In 0.000 0.877 0.500 1
Hg1 Hg 0.500 0.299 0.562 1
Hg2 Hg 0.500 0.701 0.062 1
Se1 Se 0.500 0.311 0.071 1
Se2 Se 0.500 0.689 0.571 1
O1 O 0.000 0.094 0.637 1
O2 O 0.000 0.906 0.137 1


(two)
# InHgSeO | OQMD | PBE | optimized geometry
# Crystal system = tetragonal
data_InHgSeO
_chemical_formula_sum 'In2 Hg2 Se2 O2'
_cell_length_a 4.126
_cell_length_b 4.126
_cell_length_c 9.524
_cell_angle_alpha 90.00
_cell_angle_beta 90.00
_cell_angle_gamma 90.00
_space_group_name_H-M_alt 'P 1'
_space_group_IT_number 1
_space_group_name_Hall 'P 1'
loop_
_atom_site_label
_atom_site_type_symbol
_atom_site_fract_x
_atom_site_fract_y
_atom_site_fract_z
_atom_site_occupancy
In1 In 0.250 0.250 0.098 1
In2 In 0.750 0.750 0.902 1
Hg1 Hg 0.250 0.750 0.500 1
Hg2 Hg 0.750 0.250 0.500 1
Se1 Se 0.250 0.250 0.709 1
Se2 Se 0.750 0.750 0.291 1
O1 O 0.250 0.750 0.000 1
O2 O 0.750 0.250 0.000 1


Which of them is least stable? Easy: (two).


(one)
# InHgTeO | OQMD | PBE | optimized geometry
# Crystal system = orthorhombic
data_InHgTeO
_chemical_formula_sum 'In2 Hg2 Te2 O2'
_cell_length_a 4.341
_cell_length_b 9.101
_cell_length_c 5.921
_cell_angle_alpha 90.00
_cell_angle_beta 90.00
_cell_angle_gamma 90.00
_space_group_name_H-M_alt 'P 1'
_space_group_IT_number 1
_space_group_name_Hall 'P 1'
loop_
_atom_site_label
_atom_site_type_symbol
_atom_site_fract_x
_atom_site_fract_y
_atom_site_fract_z
_atom_site_occupancy
In1 In 0.000 0.111 0.000 1
In2 In 0.000 0.889 0.500 1
Hg1 Hg 0.500 0.286 0.573 1
Hg2 Hg 0.500 0.714 0.073 1
Te1 Te 0.500 0.308 0.078 1
Te2 Te 0.500 0.692 0.578 1
O1 O 0.000 0.089 0.653 1
O2 O 0.000 0.911 0.153 1


(two)
# InHgTeO | OQMD | PBE | optimized geometry
# Crystal system = tetragonal
data_InHgTeO
_chemical_formula_sum 'In2 Hg2 Te2 O2'
_cell_length_a 4.167
_cell_length_b 4.167
_cell_length_c 10.017
_cell_angle_alpha 90.00
_cell_angle_beta 90.00
_cell_angle_gamma 90.00
_space_group_name_H-M_alt 'P 1'
_space_group_IT_number 1
_space_group_name_Hall 'P 1'
loop_
_atom_site_label
_atom_site_type_symbol
_atom_site_fract_x
_atom_site_fract_y
_atom_site_fract_z
_atom_site_occupancy
In1 In 0.250 0.250 0.095 1
In2 In 0.750 0.750 0.905 1
Hg1 Hg 0.250 0.750 0.500 1
Hg2 Hg 0.750 0.250 0.500 1
Te1 Te 0.250 0.250 0.718 1
Te2 Te 0.750 0.750 0.282 1
O1 O 0.250 0.750 0.000 1
O2 O 0.750 0.250 0.000 1


Which of them is least stable? Easy: (two).


(one)
# InSnHg3S4 | OQMD | PBE | optimized geometry
# Crystal system = monoclinic
data_InSnHg3S4
_chemical_formula_sum 'In2 Sn2 Hg6 S8'
_cell_length_a 7.048
_cell_length_b 7.762
_cell_length_c 9.410
_cell_angle_alpha 90.00
_cell_angle_beta 94.66
_cell_angle_gamma 90.00
_space_group_name_H-M_alt 'P 1'
_space_group_IT_number 1
_space_group_name_Hall 'P 1'
loop_
_atom_site_label
_atom_site_type_symbol
_atom_site_fract_x
_atom_site_fract_y
_atom_site_fract_z
_atom_site_occupancy
In1 In 0.026 0.250 0.136 1
In2 In 0.974 0.750 0.864 1
Sn1 Sn 0.135 0.250 0.715 1
Sn2 Sn 0.865 0.750 0.285 1
Hg1 Hg 0.280 0.013 0.514 1
Hg2 Hg 0.280 0.487 0.514 1
Hg3 Hg 0.351 0.750 0.945 1
Hg4 Hg 0.649 0.250 0.055 1
Hg5 Hg 0.720 0.513 0.486 1
Hg6 Hg 0.720 0.987 0.486 1
S1 S 0.134 0.531 0.253 1
S2 S 0.134 0.969 0.253 1
S3 S 0.292 0.250 0.962 1
S4 S 0.451 0.750 0.625 1
S5 S 0.549 0.250 0.375 1
S6 S 0.708 0.750 0.038 1
S7 S 0.866 0.031 0.747 1
S8 S 0.866 0.469 0.747 1


(two)
# InSnHg3S4 | OQMD | PBE | optimized geometry
# Crystal system = cubic
data_InSnHg3S4
_chemical_formula_sum 'In1 Sn1 Hg3 S4'
_cell_length_a 6.516
_cell_length_b 6.516
_cell_length_c 6.516
_cell_angle_alpha 90.00
_cell_angle_beta 90.00
_cell_angle_gamma 90.00
_space_group_name_H-M_alt 'P 1'
_space_group_IT_number 1
_space_group_name_Hall 'P 1'
loop_
_atom_site_label
_atom_site_type_symbol
_atom_site_fract_x
_atom_site_fract_y
_atom_site_fract_z
_atom_site_occupancy
In1 In 0.000 0.000 0.000 1
Sn1 Sn 0.500 0.500 0.500 1
Hg1 Hg 0.000 0.500 0.500 1
Hg2 Hg 0.500 0.000 0.500 1
Hg3 Hg 0.500 0.500 0.000 1
S1 S 0.256 0.256 0.256 1
S2 S 0.256 0.744 0.744 1
S3 S 0.744 0.256 0.744 1
S4 S 0.744 0.744 0.256 1


Which of them is least stable? Easy: (two).